Material: ZrMo2As
Method: DFT, PBE-GGA
State: optimized geometry

Cell: 3.2711 3.2711 6.5494 Å, 90.00 90.00 90.00°
With the nearest neighbours (Å) after each atom.
Space group P4mm (No. 99)
Inequivalent atoms, fractional coordinates:
Zr 0.0000 0.0000 0.0000 x1  4 As 2.97, 6 Mo 2.98-3.30, 4 Zr 3.27
Mo 0.0000 0.0000 0.4957 x1  4 As 2.70, 4 Mo 2.71
Mo 0.5000 0.5000 0.7124 x1  4 Mo 2.71, 1 As 2.81, 4 Zr 2.98
As 0.5000 0.5000 0.2838 x1  5 Mo 2.70-2.81, 4 Zr 2.97

Computed properties:
Crystal system: tetragonal
Calculated density (g cm⁻³): 8.5
Size of the total moment (μB/f.u.): 0.0
DFT formation energy (meV per atom): -144
VASP energy (eV/cell): -35.4

***

Material: SrCr2Re
Method: DFT, PBE-GGA
State: optimized geometry

Cell: 6.5250 6.5250 6.5250 Å, 90.00 90.00 90.00°
With the nearest neighbours (Å) after each atom.
Space group Fm-3m (No. 225)
Inequivalent atoms, fractional coordinates:
Sr 0.0000 0.0000 0.0000 x4  8 Cr 2.83
Cr 0.2500 0.2500 0.2500 x8  4 Re 2.83, 4 Sr 2.83
Re 0.0000 0.0000 0.5000 x4  8 Cr 2.83

Computed properties:
Crystal system: cubic
Calculated density (g cm⁻³): 9.0
E above lowest polymorph (meV/atom): 419.6
Size of the total moment (μB/f.u.): 3.0
DFT formation energy (meV per atom): 1088
VASP energy (eV/cell): -116.1